VASP calculation (PBE-GGA) on crystalline TiInAg at its relaxed geometry.

```
6
Lattice="4.221 0.000 0.000 0.000 6.556 0.011 0.000 -1.419 4.059" Properties=species:S:1:pos:R:3 pbc="T T T"
In 2.634 2.749 1.618
In 0.523 0.661 0.888
Ti 0.523 1.967 3.622
Ti 2.634 0.025 2.943
Ag 0.523 4.621 2.270
Ag 2.634 5.346 0.247
```

Properties
SG ... Cmcm (63)
Energy ... -27.3 eV/cell
Formation energy from the elements ... -0.05 eV/atom



VASP calculation (PBE-GGA) on crystalline Ca3Ac2Au2 at its relaxed geometry.

```
7
Lattice="-2.017 3.419 -0.833 -2.682 -2.595 5.720 8.106 3.249 3.579" Properties=species:S:1:pos:R:3 pbc="T T T"
Au 4.070 5.408 2.465
Au -0.664 -1.335 6.001
Ac 4.005 3.602 5.084
Ac -0.599 0.470 3.381
Ca -1.009 1.709 -0.417
Ca 1.353 3.696 2.017
Ca 2.053 0.376 6.449
```

Properties
SG ... C2/m (12)
Energy ... -24.2 eV/cell
Formation energy from the elements ... -0.49 eV/atom



- Look up the energy of the second one.
  -24.2 eV/cell



Repeat the second record exactly.
VASP calculation (PBE-GGA) on crystalline Ca3Ac2Au2 at its relaxed geometry.

```
7
Lattice="-2.017 3.419 -0.833 -2.682 -2.595 5.720 8.106 3.249 3.579" Properties=species:S:1:pos:R:3 pbc="T T T"
Au 4.070 5.408 2.465
Au -0.664 -1.335 6.001
Ac 4.005 3.602 5.084
Ac -0.599 0.470 3.381
Ca -1.009 1.709 -0.417
Ca 1.353 3.696 2.017
Ca 2.053 0.376 6.449
```

Properties
SG ... C2/m (12)
Energy ... -24.2 eV/cell
Formation energy from the elements ... -0.49 eV/atom



Repeat the first record exactly.
VASP calculation (PBE-GGA) on crystalline TiInAg at its relaxed geometry.

```
6
Lattice="4.221 0.000 0.000 0.000 6.556 0.011 0.000 -1.419 4.059" Properties=species:S:1:pos:R:3 pbc="T T T"
In 2.634 2.749 1.618
In 0.523 0.661 0.888
Ti 0.523 1.967 3.622
Ti 2.634 0.025 2.943
Ag 0.523 4.621 2.270
Ag 2.634 5.346 0.247
```

Properties
SG ... Cmcm (63)
Energy ... -27.3 eV/cell
Formation energy from the elements ... -0.05 eV/atom



Repeat the second record exactly.
VASP calculation (PBE-GGA) on crystalline Ca3Ac2Au2 at its relaxed geometry.

```
7
Lattice="-2.017 3.419 -0.833 -2.682 -2.595 5.720 8.106 3.249 3.579" Properties=species:S:1:pos:R:3 pbc="T T T"
Au 4.070 5.408 2.465
Au -0.664 -1.335 6.001
Ac 4.005 3.602 5.084
Ac -0.599 0.470 3.381
Ca -1.009 1.709 -0.417
Ca 1.353 3.696 2.017
Ca 2.053 0.376 6.449
```

Properties
SG ... C2/m (12)
Energy ... -24.2 eV/cell
Formation energy from the elements ... -0.49 eV/atom